This record from Alexandria via LeMat-Bulk describes crystalline Ba2CoAs at its relaxed geometry. The functional is PBE.

Cell: 5.501 5.501 4.181 Å, 90.00 90.00 90.00°
Element x y z (fractional)
Ba 0.000 0.500 0.000
Ba 0.500 0.000 0.000
Co 0.000 0.000 0.500
As 0.500 0.500 0.500

density of states at the Fermi level	0.651	states/eV/atom
E_tot	-4.000	eV per atom
magnetization	1.9	μB per cell
ΔE_f	-0.100	eV/atom
density	5.361	g/cm³
space-group type	No. 123

---

This record from Alexandria via LeMat-Bulk describes crystalline Ba2CoAs at its relaxed geometry. The functional is PBE.

Cell: 8.217 8.217 8.217 Å, 34.56 34.56 34.56°
Element x y z (fractional)
Ba 0.240 0.240 0.240
Ba 0.760 0.760 0.760
Co 0.000 0.000 0.000
As 0.500 0.500 0.500

density of states at the Fermi level	0.045	states/eV/atom
E_tot	-3.926	eV per atom
magnetization	2.0	μB per cell
ΔE_f	-0.026	eV/atom
density	4.259	g/cm³
space-group type	No. 166

---

This record from Alexandria via LeMat-Bulk describes crystalline BaCo4As at its relaxed geometry. The functional is PBE.

Cell: 5.196 5.196 5.196 Å, 60.00 60.00 60.00°
Element x y z (fractional)
Ba 0.000 0.000 0.000
Co 0.132 0.623 0.623
Co 0.623 0.132 0.623
Co 0.623 0.623 0.132
Co 0.623 0.623 0.623
As 0.250 0.250 0.250

density of states at the Fermi level	1.400	states/eV/atom
E_tot	-5.361	eV per atom
magnetization	7.1	μB per cell
ΔE_f	0.472	eV/atom
density	7.501	g/cm³
space-group type	No. 216

---

This record from Alexandria via LeMat-Bulk describes crystalline Ba4CoAs at its relaxed geometry. The functional is PBE.

Cell: 6.975 6.975 6.975 Å, 60.00 60.00 60.00°
Element x y z (fractional)
Ba 0.376 0.376 0.376
Ba 0.376 0.376 0.873
Ba 0.376 0.873 0.376
Ba 0.873 0.376 0.376
Co 0.000 0.000 0.000
As 0.750 0.750 0.750

density of states at the Fermi level	1.080	states/eV/atom
E_tot	-2.498	eV per atom
magnetization	0.8	μB per cell
ΔE_f	0.743	eV/atom
density	4.728	g/cm³
space-group type	No. 216

---

What is the magnetization in the fourth record? 0.8 μB per cell

---

Among the records above, which one has the lowest magnetization? Ba4CoAs

---

What is the formula in the fourth record? Ba4CoAs

---

Which of these has the highest density of states at the Fermi level? BaCo4As